No. 1
! Ti3Ga12Ir5 (GGA-PBE, optimized geometry); values from VASP
! Calculated total energy   -0.1838 hartree per atom
! Formation energy from the elements   0.215 eV per atom
&SYSTEM
  ibrav = 0, nat = 80, ntyp = 3
/
ATOMIC_SPECIES
Ir 192.22 Ir.upf
Ga 69.72 Ga.upf
Ti 47.87 Ti.upf
CELL_PARAMETERS angstrom
12.860 0.000 0.000
-4.287 12.125 0.000
-4.287 -6.062 10.500
ATOMIC_POSITIONS crystal
Ir 0.125 0.375 0.250
Ir 0.250 0.375 0.625
Ir 0.000 0.000 0.000
Ir 0.625 0.750 0.875
Ir 0.000 0.500 0.000
Ir 0.750 0.625 0.375
Ir 0.375 0.250 0.125
Ir 0.500 0.500 0.000
Ir 0.250 0.875 0.125
Ir 0.500 0.500 0.500
Ir 0.750 0.125 0.875
Ir 0.875 0.250 0.625
Ir 0.000 0.000 0.500
Ir 0.875 0.625 0.750
Ir 0.375 0.125 0.750
Ir 0.625 0.875 0.250
Ir 0.500 0.000 0.500
Ir 0.500 0.000 0.000
Ir 0.000 0.500 0.500
Ir 0.125 0.750 0.375
Ga 0.070 0.895 0.118
Ga 0.070 0.175 0.453
Ga 0.278 0.395 0.825
Ga 0.118 0.395 0.070
Ga 0.953 0.382 0.278
Ga 0.430 0.047 0.325
Ga 0.618 0.570 0.895
Ga 0.047 0.618 0.722
Ga 0.570 0.618 0.395
Ga 0.882 0.605 0.930
Ga 0.395 0.118 0.570
Ga 0.675 0.453 0.570
Ga 0.222 0.675 0.105
Ga 0.930 0.105 0.882
Ga 0.953 0.570 0.175
Ga 0.882 0.278 0.453
Ga 0.430 0.382 0.605
Ga 0.382 0.430 0.105
Ga 0.825 0.930 0.047
Ga 0.618 0.047 0.222
Ga 0.778 0.325 0.895
Ga 0.778 0.453 0.382
Ga 0.222 0.547 0.618
Ga 0.570 0.953 0.675
Ga 0.930 0.825 0.547
Ga 0.547 0.325 0.930
Ga 0.895 0.070 0.618
Ga 0.278 0.882 0.953
Ga 0.895 0.825 0.778
Ga 0.722 0.118 0.047
Ga 0.825 0.895 0.278
Ga 0.605 0.882 0.430
Ga 0.105 0.930 0.382
Ga 0.047 0.430 0.825
Ga 0.675 0.222 0.605
Ga 0.325 0.547 0.430
Ga 0.175 0.105 0.722
Ga 0.453 0.675 0.070
Ga 0.722 0.605 0.175
Ga 0.325 0.778 0.395
Ga 0.382 0.953 0.778
Ga 0.395 0.278 0.325
Ga 0.547 0.222 0.118
Ga 0.118 0.722 0.547
Ga 0.605 0.722 0.675
Ga 0.453 0.778 0.882
Ga 0.105 0.175 0.222
Ga 0.175 0.070 0.953
Ti 0.250 0.625 0.875
Ti 0.875 0.750 0.125
Ti 0.125 0.250 0.875
Ti 0.875 0.125 0.250
Ti 0.750 0.375 0.125
Ti 0.375 0.750 0.625
Ti 0.125 0.875 0.750
Ti 0.375 0.625 0.250
Ti 0.250 0.125 0.375
Ti 0.625 0.250 0.375
Ti 0.625 0.375 0.750
Ti 0.750 0.875 0.625

***

No. 2
! Cu7Ge2PdAu2 (GGA-PBE, optimized geometry); values from VASP
! Calculated total energy   -0.1493 hartree per atom
! Formation energy from the elements   0.075 eV per atom
&SYSTEM
  ibrav = 0, nat = 12, ntyp = 4
/
ATOMIC_SPECIES
Cu 63.55 Cu.upf
Ge 72.64 Ge.upf
Au 196.97 Au.upf
Pd 106.42 Pd.upf
CELL_PARAMETERS angstrom
-1.226 2.768 1.881
-2.711 0.352 -2.287
-9.768 -7.347 7.742
ATOMIC_POSITIONS crystal
Cu 0.564 0.064 0.863
Cu 0.436 0.936 0.137
Cu 0.064 0.564 0.863
Cu 0.268 0.268 0.465
Cu 0.732 0.732 0.535
Cu 0.500 0.500 0.000
Cu 0.936 0.436 0.137
Ge 0.824 0.824 0.364
Ge 0.176 0.176 0.636
Au 0.367 0.367 0.278
Au 0.633 0.633 0.722
Pd 0.000 0.000 0.000

***

No. 3
! Gd (GGA-PBE, optimized geometry); values from VASP
! Excess energy over the best structure of this formula in the dataset   5 kJ/mol of formula units
! Calculated total energy   -0.5157 hartree per atom
! Formation energy from the elements   0.048 eV per atom
&SYSTEM
  ibrav = 0, nat = 1, ntyp = 1
/
ATOMIC_SPECIES
Gd 157.25 Gd.upf
CELL_PARAMETERS angstrom
-1.883 2.759 1.289
-3.558 -0.258 0.328
-1.491 -0.212 3.251
ATOMIC_POSITIONS crystal
Gd 0.000 0.500 0.500

***

No. 4
! ZrCo2PPt (GGA-PBE, optimized geometry); values from VASP
! Calculated total energy   -0.2031 hartree per atom
! Formation energy from the elements   1.315 eV per atom
&SYSTEM
  ibrav = 0, nat = 5, ntyp = 4
/
ATOMIC_SPECIES
P 30.97 P.upf
Pt 195.08 Pt.upf
Co 58.93 Co.upf
Zr 91.22 Zr.upf
CELL_PARAMETERS angstrom
-2.524 -3.121 -1.969
-0.629 -2.187 4.272
-3.644 2.484 0.735
ATOMIC_POSITIONS crystal
P 0.000 0.500 0.000
Pt 0.500 0.500 0.500
Co 0.500 0.000 0.000
Co 0.000 0.000 0.500
Zr 0.000 0.000 0.000

***

No. 5
! ErGa4Ni2Ir (GGA-PBE, optimized geometry); values from VASP
! Calculated total energy   -0.1871 hartree per atom
! Formation energy from the elements   -0.454 eV per atom
&SYSTEM
  ibrav = 0, nat = 8, ntyp = 4
/
ATOMIC_SPECIES
Ga 69.72 Ga.upf
Ni 58.69 Ni.upf
Er 167.26 Er.upf
Ir 192.22 Ir.upf
CELL_PARAMETERS angstrom
4.119 0.000 0.000
2.060 3.567 0.000
2.060 1.189 8.719
ATOMIC_POSITIONS crystal
Ga 0.400 0.400 0.801
Ga 0.872 0.872 0.383
Ga 0.128 0.128 0.617
Ga 0.600 0.600 0.199
Ni 0.768 0.768 0.697
Ni 0.232 0.232 0.303
Er 0.000 0.000 0.000
Ir 0.500 0.500 0.500

***

No. 6
! BPt (GGA-PBE, optimized geometry); values from VASP
! Calculated total energy   -0.2307 hartree per atom
! Formation energy from the elements   0.082 eV per atom
&SYSTEM
  ibrav = 0, nat = 12, ntyp = 2
/
ATOMIC_SPECIES
Pt 195.08 Pt.upf
B 10.81 B.upf
CELL_PARAMETERS angstrom
5.883 0.000 0.000
0.000 5.883 0.000
0.000 0.000 5.883
ATOMIC_POSITIONS crystal
Pt 0.500 0.750 0.000
Pt 0.000 0.500 0.750
Pt 0.250 0.000 0.500
Pt 0.750 0.000 0.500
Pt 0.500 0.250 0.000
Pt 0.000 0.500 0.250
B 0.250 0.500 0.000
B 0.000 0.250 0.500
B 0.750 0.500 0.000
B 0.000 0.750 0.500
B 0.500 0.000 0.250
B 0.500 0.000 0.750